ZnHRh2Au: optimized geometry, PBE.

## Properties
Total magnetization = 0.00 μB/f.u.
Fermi-level density of states = 5.2 states/eV/f.u.
Energy above the lowest structure with this stoichiometry = 0.012 eV/atom

Cell and atoms, written as POSCAR:
```
ZnHRh2Au
1.0
3.9757 0.0000 0.0000
0.0000 3.9757 0.0000
0.0000 0.0000 4.0004
Rh Zn Au H
2 1 1 1
Direct
0.0000 0.5000 0.0000
0.5000 0.0000 0.0000
0.5000 0.5000 0.5000
0.0000 0.0000 0.5000
0.0000 0.0000 0.0000
```

***

ZnHRh2Au: optimized geometry, PBE.

## Properties
Total magnetization = 0.00 μB/f.u.
Fermi-level density of states = 5.7 states/eV/f.u.
Energy above the lowest structure with this stoichiometry = 0.000 eV/atom

Cell and atoms, written as POSCAR:
```
ZnHRh2Au
1.0
-1.0649 3.7786 0.2093
-2.3840 -0.5009 -3.0857
-3.0261 -0.9913 2.4990
Rh Zn Au H
2 1 1 1
Direct
0.0000 0.5000 0.0000
0.5000 0.0000 0.0000
0.0000 0.0000 0.5000
0.5000 0.5000 0.5000
0.0000 0.0000 0.0000
```

***

Zr2HRhAu: optimized geometry, PBE.

## Properties
Total magnetization = 0.00 μB/f.u.
Fermi-level density of states = 4.7 states/eV/f.u.
Energy above the lowest structure with this stoichiometry = 0.000 eV/atom

Cell and atoms, written as POSCAR:
```
Zr2HRhAu
1.0
-2.3052 3.2602 2.0466
-3.3063 -1.8086 -0.8431
0.2467 -2.2554 3.8709
Rh Au Zr H
1 1 2 1
Direct
0.0000 0.5000 0.0000
0.5000 0.5000 0.5000
0.0000 0.0000 0.5000
0.5000 0.0000 0.0000
0.0000 0.0000 0.0000
```

***

ZrHRh2Au: optimized geometry, PBE.

## Properties
Total magnetization = 0.00 μB/f.u.
Fermi-level density of states = 0.1 states/eV/f.u.
Energy above the lowest structure with this stoichiometry = 0.033 eV/atom

Cell and atoms, written as POSCAR:
```
ZrHRh2Au
1.0
4.1749 0.0000 0.0000
0.0000 4.1749 0.0000
0.0000 0.0000 3.9188
Rh Au Zr H
2 1 1 1
Direct
0.0000 0.5000 0.0000
0.5000 0.0000 0.0000
0.0000 0.0000 0.5000
0.5000 0.5000 0.5000
0.0000 0.0000 0.0000
```

***

ZrHRh2Au: optimized geometry, PBE.

## Properties
Total magnetization = 0.00 μB/f.u.
Fermi-level density of states = 1.1 states/eV/f.u.
Energy above the lowest structure with this stoichiometry = 0.000 eV/atom

Cell and atoms, written as POSCAR:
```
ZrHRh2Au
1.0
4.0777 0.0000 0.0000
0.0000 4.0777 0.0000
0.0000 0.0000 4.1082
Rh Au Zr H
2 1 1 1
Direct
0.0000 0.5000 0.0000
0.5000 0.0000 0.0000
0.5000 0.5000 0.5000
0.0000 0.0000 0.5000
0.0000 0.0000 0.0000
```

***

Zr2HRhAu: optimized geometry, PBE.

## Properties
Total magnetization = 0.01 μB/f.u.
Fermi-level density of states = 5.5 states/eV/f.u.
Energy above the lowest structure with this stoichiometry = 0.104 eV/atom

Cell and atoms, written as POSCAR:
```
Zr2HRhAu
1.0
-0.8717 3.2850 2.6804
1.0578 -2.4814 3.3851
3.9082 1.2725 -0.2885
Rh Au Zr H
1 1 2 1
Direct
0.5000 0.5000 0.5000
0.0000 0.0000 0.5000
0.0000 0.5000 0.0000
0.5000 0.0000 0.0000
0.0000 0.0000 0.0000
```

***

HRuAu2: optimized geometry, PBE.

## Properties
Total magnetization = 1.10 μB/f.u.
Fermi-level density of states = 7.3 states/eV/f.u.
Energy above the lowest structure with this stoichiometry = 0.324 eV/atom

Cell and atoms, written as POSCAR:
```
HRuAu2
1.0
3.3089 -2.3809 1.6407
-0.6743 -2.5913 3.4843
0.0105 -4.3684 -0.4758
Ru Au H
1 2 1
Direct
0.5000 0.5000 0.5000
0.2500 0.2500 0.2500
0.7500 0.7500 0.7500
0.0000 0.0000 0.0000
```

***

H12Ru5Au3: optimized geometry, PBE.

## Properties
DFT total energy = -4.43 eV/atom
Total magnetization = 0.81 μB/f.u.
Fermi-level density of states = 15.1 states/eV/f.u.

Cell and atoms, written as POSCAR:
```
H12Ru5Au3
1.0
9.5966 0.0000 0.0000
-3.1989 9.0477 0.0000
-3.1989 -4.5239 7.8356
Au Ru H
12 20 48
Direct
0.7500 0.3750 0.1250
0.8750 0.7500 0.1250
0.3750 0.7500 0.6250
0.2500 0.1250 0.3750
0.8750 0.1250 0.2500
0.3750 0.6250 0.2500
0.6250 0.3750 0.7500
0.1250 0.8750 0.7500
0.7500 0.8750 0.6250
0.6250 0.2500 0.3750
0.1250 0.2500 0.8750
0.2500 0.6250 0.8750
0.1250 0.3750 0.2500
0.0000 0.5000 0.0000
0.0000 0.0000 0.0000
0.3750 0.2500 0.1250
0.5000 0.0000 0.5000
0.5000 0.5000 0.0000
0.1250 0.7500 0.3750
0.7500 0.1250 0.8750
0.7500 0.6250 0.3750
0.3750 0.1250 0.7500
0.6250 0.8750 0.2500
0.5000 0.5000 0.5000
0.5000 0.0000 0.0000
0.0000 0.0000 0.5000
0.2500 0.3750 0.6250
0.2500 0.8750 0.1250
0.0000 0.5000 0.5000
0.8750 0.2500 0.6250
0.6250 0.7500 0.8750
0.8750 0.6250 0.7500
0.7108 0.0994 0.0296
0.3188 0.5296 0.4302
0.9704 0.4006 0.2892
0.5296 0.2108 0.0994
0.6114 0.7108 0.6812
0.9704 0.5698 0.1812
0.3188 0.7892 0.3886
0.0698 0.8886 0.0994
0.5698 0.9704 0.6812
0.7108 0.6114 0.1812
0.7892 0.4704 0.4006
0.8188 0.9302 0.0296
0.0994 0.7108 0.5296
0.4006 0.4302 0.1114
0.1114 0.9302 0.4006
0.3886 0.0994 0.5698
0.1114 0.1812 0.2108
0.4704 0.6812 0.0698
0.8188 0.8886 0.2892
0.0994 0.3886 0.0698
0.4006 0.9704 0.7892
0.5698 0.5994 0.3886
0.9302 0.8188 0.5296
0.7892 0.3188 0.8886
0.4302 0.4006 0.6114
0.0698 0.1812 0.4704
0.2108 0.6812 0.1114
0.1812 0.1114 0.7108
0.5994 0.0296 0.2108
0.9006 0.6114 0.9302
0.5296 0.3188 0.9302
0.6114 0.9006 0.4302
0.8886 0.8188 0.7892
0.8886 0.0698 0.5994
0.9006 0.2892 0.4704
0.1812 0.0698 0.9704
0.5994 0.5698 0.8886
0.4302 0.0296 0.3188
0.2892 0.3886 0.8188
0.2108 0.5296 0.5994
0.9302 0.1114 0.9006
0.6812 0.2108 0.6114
0.4704 0.7892 0.9006
0.0296 0.4302 0.8188
0.3886 0.2892 0.3188
0.0296 0.5994 0.7108
0.6812 0.4704 0.5698
0.2892 0.9006 0.9704
```

***

- Among the records above, which one has the highest Fermi-level density of states?
  H12Ru5Au3

***

- Among the records above, which one has the highest Fermi-level density of states?
  H12Ru5Au3

***

What did the first record say?
ZnHRh2Au: optimized geometry, PBE.

## Properties
Total magnetization = 0.00 μB/f.u.
Fermi-level density of states = 5.2 states/eV/f.u.
Energy above the lowest structure with this stoichiometry = 0.012 eV/atom

Cell and atoms, written as POSCAR:
```
ZnHRh2Au
1.0
3.9757 0.0000 0.0000
0.0000 3.9757 0.0000
0.0000 0.0000 4.0004
Rh Zn Au H
2 1 1 1
Direct
0.0000 0.5000 0.0000
0.5000 0.0000 0.0000
0.5000 0.5000 0.5000
0.0000 0.0000 0.5000
0.0000 0.0000 0.0000
```